Material: KZrCr3
Method: DFT, GGA-PBE
State: optimized geometry

Values from the calculation:
The calculation puts the total energy at -5.51 eV per atom. For the volume, the calculation gives 110 Å³ per cell. The calculated formation energy is 2198 meV per atom. Its total magnetization is 10.8 μB per formula unit.

a b c (Å): 4.789 4.789 4.789
angles (deg): 90.00 90.00 90.00
Element x y z (fractional)
K (0.000, 0.000, 0.000)
Zr (0.500, 0.500, 0.500)
Cr (0.000, 0.000, 0.500)
Cr (0.000, 0.500, 0.000)
Cr (0.500, 0.000, 0.000)



Material: KCa2Ag9
Method: DFT, GGA-PBE
State: optimized geometry

Values from the calculation:
The calculation puts the total energy at -2.70 eV per atom. For the volume, the calculation gives 270 Å³ per cell. The calculated formation energy is -135 meV per atom. Its total magnetization is 0.0 μB per formula unit.

a b c (Å): 9.901 9.901 9.901
angles (deg): 33.99 33.99 33.99
Element x y z (fractional)
K (0.000, 0.000, 0.000)
Ca (0.142, 0.142, 0.142)
Ca (0.858, 0.858, 0.858)
Ag (0.081, 0.587, 0.587)
Ag (0.333, 0.333, 0.333)
Ag (0.413, 0.413, 0.919)
Ag (0.413, 0.919, 0.413)
Ag (0.500, 0.500, 0.500)
Ag (0.587, 0.081, 0.587)
Ag (0.587, 0.587, 0.081)
Ag (0.667, 0.667, 0.667)
Ag (0.919, 0.413, 0.413)



Material: LiNd2Y
Method: DFT, GGA-PBE
State: optimized geometry

Values from the calculation:
The calculation puts the total energy at -4.41 eV per atom. For the volume, the calculation gives 124 Å³ per cell. The calculated formation energy is 65 meV per atom. Its total magnetization is 0.0 μB per formula unit.

a b c (Å): 3.671 3.671 9.196
angles (deg): 90.00 90.00 90.00
Element x y z (fractional)
Li (0.000, 0.000, 0.000)
Nd (0.500, 0.500, 0.227)
Nd (0.500, 0.500, 0.773)
Y (0.000, 0.000, 0.500)



Q: What is the formula in the third record?
A: LiNd2Y



Q: Look up the total magnetization of the second one.
A: 0.0 μB per formula unit



Q: Which value of calculated formation energy does entry 1 give?
A: 2198 meV per atom